A relaxed Ac2Pm4Er crystal, computed with GGA-PBE.

Computed properties:
- D(E_F) (states/eV per atom) = 1.81
- E_form (eV/atom) = 0.194
- crystal system = orthorhombic

Lattice parameters (Å, degrees): 13.0694 25.3606 6.3561 90.00 90.00 90.00
With the nearest neighbours (Å) after each atom.
Space group Ccce (No. 68, origin choice 2)
Unique sites:
Ac1 0.0000 0.0420 0.2500 (multiplicity 8)  8 Pm 3.76-4.15, 4 Er 3.78-3.79, 2 Ac 3.83
Ac2 0.1394 0.2500 0.7500 (multiplicity 8)  8 Pm 3.57-3.72, 1 Ac 3.64
Pm1 0.1310 0.1739 0.2496 (multiplicity 16)  4 Pm 3.42-3.61, 4 Ac 3.57-3.76
Pm2 0.1343 0.1062 0.7494 (multiplicity 16)  2 Er 3.47-3.48, 4 Pm 3.51-3.61, 1 Ac 3.65
Er1 0.2500 0.0000 0.4991 (multiplicity 8)  2 Er 3.18, 4 Pm 3.47-3.48

---

A relaxed AcPm6Er5 crystal, computed with GGA-PBE.

Computed properties:
- D(E_F) (states/eV per atom) = 1.50
- E_form (eV/atom) = 0.033
- crystal system = monoclinic

Lattice parameters (Å, degrees): 11.9744 10.8827 6.2606 90.00 100.24 90.00
With the nearest neighbours (Å) after each atom.
Space group C2/m (No. 12)
Unique sites:
Ac1 0.0000 0.0000 0.0000 (multiplicity 2)  6 Pm 3.65-3.66, 6 Er 3.65-3.67
Pm1 0.2466 0.3319 0.7506 (multiplicity 8)  5 Er 3.54-3.66, 6 Pm 3.58-3.66, 1 Ac 3.65
Pm2 0.2476 0.5000 0.2559 (multiplicity 4)  5 Er 3.57-3.65, 6 Pm 3.60-3.65, 1 Ac 3.66
Er1 0.0000 0.1723 0.5000 (multiplicity 4)  6 Pm 3.54-3.66, 4 Er 3.57-3.75, 2 Ac 3.65
Er2 0.0000 0.3370 0.0000 (multiplicity 4)  5 Er 3.55-3.61, 6 Pm 3.58-3.65, 1 Ac 3.67
Er3 0.0000 0.5000 0.5000 (multiplicity 2)  6 Er 3.57-3.60, 6 Pm 3.57-3.59

---

A relaxed AcPm2Er crystal, computed with GGA-PBE.

Computed properties:
- energy above the lowest structure with this stoichiometry (eV/atom) = 0.007
- D(E_F) (states/eV per atom) = 1.37
- E_form (eV/atom) = 0.046
- crystal system = orthorhombic

Lattice parameters (Å, degrees): 3.7124 5.1998 14.8604 90.00 90.00 90.00
With the nearest neighbours (Å) after each atom.
Space group Pmmn (No. 59, origin choice 2)
Unique sites:
Ac1 0.2500 0.2500 0.0719 (multiplicity 2)  1 Er 3.69, 6 Ac 3.71-3.84, 5 Pm 3.73-4.07
Pm1 0.2500 0.2500 0.5607 (multiplicity 2)  7 Pm 3.53-3.71, 5 Er 3.57-3.65
Pm2 0.2500 0.2500 0.7980 (multiplicity 2)  3 Pm 3.53-3.71, 4 Er 3.65, 4 Ac 3.73
Er1 0.2500 0.2500 0.3202 (multiplicity 2)  9 Pm 3.57-3.65, 1 Ac 3.69, 2 Er 3.71